{"formula": "ScMn2Pb", "functional": "PBE-GGA", "state": "relaxed", "lattice": [[-3.817, 3.817, 2.882], [3.817, -3.817, 2.882], [3.817, 3.817, -2.882]], "species": ["Sc", "Sc", "Mn", "Mn", "Mn", "Mn", "Pb", "Pb"], "fractional_positions": [[0.000, 0.000, 0.000], [0.750, 0.250, 0.500], [0.130, 0.625, 0.005], [0.375, 0.380, 0.505], [0.620, 0.125, 0.995], [0.875, 0.870, 0.495], [0.250, 0.750, 0.500], [0.500, 0.500, 0.000]], "total_magnetization_mub_per_cell": 13.5, "space_group": "I-42d, No. 122", "delta_e_f_ev_per_atom": 0.553}